# 1
# PBE-GGA Li4CdGaPd2, optimized geometry
data_Li4CdGaPd2
_chemical_formula_sum 'Li4 Cd1 Ga1 Pd2'
_space_group_name_H-M_alt 'P 1'
_space_group_IT_number 1
_cell_length_a 4.3889
_cell_length_b 4.3889
_cell_length_c 6.2441
_cell_angle_alpha 90.00
_cell_angle_beta 90.00
_cell_angle_gamma 90.00
loop_
_space_group_symop_operation_xyz
'x,y,z'
loop_
_atom_site_label
_atom_site_type_symbol
_atom_site_fract_x
_atom_site_fract_y
_atom_site_fract_z
Li1 Li 0.0000 0.0000 0.0000
Li2 Li 0.0000 0.5000 0.2429
Li3 Li 0.5000 0.0000 0.7571
Li4 Li 0.5000 0.5000 0.5000
Cd1 Cd 0.0000 0.0000 0.5000
Ga1 Ga 0.5000 0.5000 0.0000
Pd1 Pd 0.0000 0.5000 0.7780
Pd2 Pd 0.5000 0.0000 0.2220
# mass density = 5.84 g/cm³
# DFT total energy = -3.220 eV/atom

# 2
# PBE-GGA Li2Cd2Ga2PdPt, optimized geometry
data_Li2Cd2Ga2PdPt
_chemical_formula_sum 'Li2 Cd2 Ga2 Pd1 Pt1'
_space_group_name_H-M_alt 'P 1'
_space_group_IT_number 1
_cell_length_a 4.4841
_cell_length_b 4.4841
_cell_length_c 6.3342
_cell_angle_alpha 90.00
_cell_angle_beta 90.00
_cell_angle_gamma 90.00
loop_
_space_group_symop_operation_xyz
'x,y,z'
loop_
_atom_site_label
_atom_site_type_symbol
_atom_site_fract_x
_atom_site_fract_y
_atom_site_fract_z
Li1 Li 0.0000 0.0000 0.0000
Li2 Li 0.5000 0.5000 0.5000
Cd1 Cd 0.0000 0.5000 0.2488
Cd2 Cd 0.5000 0.0000 0.7512
Ga1 Ga 0.0000 0.5000 0.7500
Ga2 Ga 0.5000 0.0000 0.2500
Pd1 Pd 0.5000 0.5000 0.0000
Pt1 Pt 0.0000 0.0000 0.5000
# mass density = 8.86 g/cm³
# DFT total energy = -3.336 eV/atom

# 3
# PBE-GGA Li2ZnCd2GaPd2, optimized geometry
data_Li2ZnCd2GaPd2
_chemical_formula_sum 'Li2 Zn1 Cd2 Ga1 Pd2'
_space_group_name_H-M_alt 'P 1'
_space_group_IT_number 1
_cell_length_a 4.4843
_cell_length_b 4.4843
_cell_length_c 6.3172
_cell_angle_alpha 90.00
_cell_angle_beta 90.00
_cell_angle_gamma 90.00
loop_
_space_group_symop_operation_xyz
'x,y,z'
loop_
_atom_site_label
_atom_site_type_symbol
_atom_site_fract_x
_atom_site_fract_y
_atom_site_fract_z
Li1 Li 0.0000 0.5000 0.2482
Li2 Li 0.5000 0.0000 0.7518
Zn1 Zn 0.5000 0.5000 0.0000
Cd1 Cd 0.0000 0.0000 0.0000
Cd2 Cd 0.5000 0.5000 0.5000
Ga1 Ga 0.0000 0.0000 0.5000
Pd1 Pd 0.0000 0.5000 0.7444
Pd2 Pd 0.5000 0.0000 0.2556
# mass density = 7.67 g/cm³
# DFT total energy = -2.961 eV/atom

# 4
# PBE-GGA Li4CdGaPt2, optimized geometry
data_Li4CdGaPt2
_chemical_formula_sum 'Li4 Cd1 Ga1 Pt2'
_space_group_name_H-M_alt 'P 1'
_space_group_IT_number 1
_cell_length_a 4.3432
_cell_length_b 4.3432
_cell_length_c 6.3570
_cell_angle_alpha 90.00
_cell_angle_beta 90.00
_cell_angle_gamma 90.00
loop_
_space_group_symop_operation_xyz
'x,y,z'
loop_
_atom_site_label
_atom_site_type_symbol
_atom_site_fract_x
_atom_site_fract_y
_atom_site_fract_z
Li1 Li 0.0000 0.0000 0.0000
Li2 Li 0.0000 0.5000 0.7351
Li3 Li 0.5000 0.0000 0.2649
Li4 Li 0.5000 0.5000 0.5000
Cd1 Cd 0.5000 0.5000 0.0000
Ga1 Ga 0.0000 0.0000 0.5000
Pt1 Pt 0.0000 0.5000 0.2794
Pt2 Pt 0.5000 0.0000 0.7206
# mass density = 8.31 g/cm³
# DFT total energy = -3.534 eV/atom